Computed, not measured: a geometry-optimized RbPrMnS3 structure at the PBE level of DFT.

```
RbPrMnS3
1.0
4.2192 0.0000 0.0000
0.0000 9.2054 0.4002
0.0000 -3.1402 9.2235
S Rb Mn Pr
6 2 2 2
Cartesian
3.1644 3.7311 1.5941 S
3.1644 7.6380 1.7050 S
1.0548 2.3341 8.0296 S
3.1644 0.0077 4.9946 S
1.0548 -1.5728 7.9187 S
1.0548 6.0575 4.6291 S
3.1644 4.9587 7.4551 Rb
1.0548 1.1065 2.1686 Rb
1.0548 -1.1161 5.6377 Mn
3.1644 7.1813 3.9860 Mn
1.0548 5.6490 1.6181 Pr
3.1644 0.4162 8.0056 Pr
```

The total energy is -71.1 eV/cell. The value obtained for the total magnetization is 0.833 μB/atom.